# Pm4Al2N

An optimized crystal structure of Pm4Al2N (PBE, the Alexandria database).

## Properties
Spin magnetization, μB/f.u.: 0.00
Electronic total energy, eV per atom: -5.51
Space-group type: No. 139
Uncorrected formation energy, kJ per mole of atoms: -51.3

Cell: 4.8872 4.8872 8.5557 Å, 106.60 106.60 90.00°
Closest atoms and distances in Å follow each position.
Sites, in units of the cell vectors:
1 N 0.0000 0.0000 0.0000  6 Pm 2.44-2.60
2 Al 0.6324 0.6324 0.2648  9 Pm 3.16-3.50
3 Al 0.3676 0.3676 0.7352  9 Pm 3.16-3.50
4 Pm 0.8342 0.8342 0.6684  1 N 2.60
5 Pm 0.1658 0.1658 0.3316  1 N 2.60
6 Pm 0.0000 0.5000 0.0000  2 N 2.44
7 Pm 0.5000 0.0000 0.0000  2 N 2.44